(1)
First-principles (PBE) data for a relaxed CdCu3Pd7 crystal, as listed in Alexandria via LeMat-Bulk.

CIF file:
```
data_CdCu3Pd7
_space_group_name_H-M_alt 'C 1 2/m 1'
_space_group_IT_number 12
_cell_length_a 8.401
_cell_length_b 9.210
_cell_length_c 5.113
_cell_angle_alpha 90.00
_cell_angle_beta 114.04
_cell_angle_gamma 90.00
loop_
_space_group_symop_operation_xyz
'x,y,z'
'-x,-y,-z'
'-x,y,-z'
'x,-y,z'
'x+1/2,y+1/2,z'
'-x+1/2,-y+1/2,-z'
'-x+1/2,y+1/2,-z'
'x+1/2,-y+1/2,z'
loop_
_atom_site_label
_atom_site_fract_x
_atom_site_fract_y
_atom_site_fract_z
Cd1 0.000 0.000 0.000
Cu1 0.000 0.272 0.500
Cu2 0.000 0.500 0.000
Pd1 0.000 0.000 0.500
Pd2 0.177 0.268 0.188
Pd3 0.180 0.500 0.549
```

Output
ΔE_f, eV/atom: 0.116
Density of states at the Fermi level, states/eV/f.u.: 11.41
M_tot, μB per formula unit: 0.000



(2)
First-principles (PBE) data for a relaxed CdCu3Pd12 crystal, as listed in Alexandria via LeMat-Bulk.

CIF file:
```
data_CdCu3Pd12
_space_group_name_H-M_alt 'P 4/m m m'
_space_group_IT_number 123
_space_group_name_Hall '-P 4 2'
_cell_length_a 3.933
_cell_length_b 3.933
_cell_length_c 15.648
_cell_angle_alpha 90.00
_cell_angle_beta 90.00
_cell_angle_gamma 90.00
loop_
_atom_site_label
_atom_site_fract_x
_atom_site_fract_y
_atom_site_fract_z
Cd1 0.000 0.000 0.000
Cu1 0.000 0.000 0.256
Cu2 0.000 0.000 0.500
Pd1 0.000 0.500 0.134
Pd2 0.000 0.500 0.378
Pd3 0.500 0.500 0.000
Pd4 0.500 0.500 0.256
Pd5 0.500 0.500 0.500
```

Output
ΔE_f, eV/atom: -0.100
Density of states at the Fermi level, states/eV/f.u.: 18.46
M_tot, μB per formula unit: 0.000



(3)
First-principles (PBE) data for a relaxed CdCu4Pd15 crystal, as listed in Alexandria via LeMat-Bulk.

CIF file:
```
data_CdCu4Pd15
_space_group_name_H-M_alt 'P 4/m m m'
_space_group_IT_number 123
_space_group_name_Hall '-P 4 2'
_cell_length_a 3.910
_cell_length_b 3.910
_cell_length_c 19.652
_cell_angle_alpha 90.00
_cell_angle_beta 90.00
_cell_angle_gamma 90.00
loop_
_atom_site_label
_atom_site_fract_x
_atom_site_fract_y
_atom_site_fract_z
Cd1 0.000 0.000 0.000
Cu1 0.000 0.000 0.205
Cu2 0.000 0.000 0.402
Pd1 0.000 0.500 0.107
Pd2 0.000 0.500 0.304
Pd3 0.000 0.500 0.500
Pd4 0.500 0.500 0.000
Pd5 0.500 0.500 0.206
Pd6 0.500 0.500 0.402
```

Output
ΔE_f, eV/atom: -0.099
Density of states at the Fermi level, states/eV/f.u.: 21.73
M_tot, μB per formula unit: 0.001



(4)
First-principles (PBE) data for a relaxed Cd2CuPd9 crystal, as listed in Alexandria via LeMat-Bulk.

CIF file:
```
data_Cd2CuPd9
_space_group_name_H-M_alt 'P 4/m m m'
_space_group_IT_number 123
_space_group_name_Hall '-P 4 2'
_cell_length_a 3.996
_cell_length_b 3.996
_cell_length_c 11.949
_cell_angle_alpha 90.00
_cell_angle_beta 90.00
_cell_angle_gamma 90.00
loop_
_atom_site_label
_atom_site_fract_x
_atom_site_fract_y
_atom_site_fract_z
Cd1 0.000 0.000 0.171
Cu1 0.000 0.000 0.500
Pd1 0.000 0.500 0.000
Pd2 0.000 0.500 0.344
Pd3 0.500 0.500 0.173
Pd4 0.500 0.500 0.500
```

Output
ΔE_f, eV/atom: -0.167
Density of states at the Fermi level, states/eV/f.u.: 18.80
M_tot, μB per formula unit: 0.000



(5)
First-principles (PBE) data for a relaxed CdCuPd3 crystal, as listed in Alexandria via LeMat-Bulk.

CIF file:
```
data_CdCuPd3
_space_group_name_H-M_alt 'P -1'
_space_group_IT_number 2
_cell_length_a 4.785
_cell_length_b 4.795
_cell_length_c 7.503
_cell_angle_alpha 71.39
_cell_angle_beta 84.88
_cell_angle_gamma 74.09
loop_
_space_group_symop_operation_xyz
'x,y,z'
'-x,-y,-z'
loop_
_atom_site_label
_atom_site_fract_x
_atom_site_fract_y
_atom_site_fract_z
Cd1 0.250 0.151 0.198
Cu1 0.250 0.355 0.790
Pd1 0.250 0.550 0.401
Pd2 0.250 0.749 0.003
Pd3 0.250 0.947 0.607
```

Output
ΔE_f, eV/atom: -0.206
Density of states at the Fermi level, states/eV/f.u.: 1.92
E above lowest polymorph, eV per atom: 0.000
M_tot, μB per formula unit: 0.000



(6)
First-principles (PBE) data for a relaxed CdCuPd crystal, as listed in Alexandria via LeMat-Bulk.

CIF file:
```
data_CdCuPd
_space_group_name_H-M_alt 'P m m m'
_space_group_IT_number 47
_cell_length_a 2.992
_cell_length_b 4.157
_cell_length_c 4.625
_cell_angle_alpha 90.00
_cell_angle_beta 90.00
_cell_angle_gamma 90.00
loop_
_space_group_symop_operation_xyz
'x,y,z'
'-x,-y,-z'
'-x,-y,z'
'x,y,-z'
'x,-y,-z'
'-x,y,z'
'-x,y,-z'
'x,-y,z'
loop_
_atom_site_label
_atom_site_fract_x
_atom_site_fract_y
_atom_site_fract_z
Cd1 0.000 0.000 0.000
Cu1 0.000 0.500 0.500
Pd1 0.500 0.000 0.500
```

Output
ΔE_f, eV/atom: -0.041
Density of states at the Fermi level, states/eV/f.u.: 1.12
E above lowest polymorph, eV per atom: 0.123
M_tot, μB per formula unit: 0.000



(7)
First-principles (PBE) data for a relaxed Cd2CuPd3 crystal, as listed in Alexandria via LeMat-Bulk.

CIF file:
```
data_Cd2CuPd3
_space_group_name_H-M_alt 'C m m m'
_space_group_IT_number 65
_space_group_name_Hall '-C 2 2'
_cell_length_a 4.291
_cell_length_b 12.899
_cell_length_c 7.074
_cell_angle_alpha 90.00
_cell_angle_beta 90.00
_cell_angle_gamma 90.00
loop_
_atom_site_label
_atom_site_fract_x
_atom_site_fract_y
_atom_site_fract_z
Cd1 0.000 0.000 0.000
Cd2 0.000 0.000 0.500
Cd3 0.000 0.333 0.000
Cu1 0.000 0.334 0.500
Pd1 0.000 0.172 0.270
Pd2 0.000 0.500 0.260
```

Output
ΔE_f, eV/atom: -0.310
Density of states at the Fermi level, states/eV/f.u.: 1.32
E above lowest polymorph, eV per atom: 0.006
M_tot, μB per formula unit: 0.000



(8)
First-principles (PBE) data for a relaxed Cd7CuPd4 crystal, as listed in Alexandria via LeMat-Bulk.

CIF file:
```
data_Cd7CuPd4
_space_group_name_H-M_alt 'C 1 2/m 1'
_space_group_IT_number 12
_cell_length_a 13.175
_cell_length_b 4.851
_cell_length_c 9.827
_cell_angle_alpha 90.00
_cell_angle_beta 128.18
_cell_angle_gamma 90.00
loop_
_space_group_symop_operation_xyz
'x,y,z'
'-x,-y,-z'
'-x,y,-z'
'x,-y,z'
'x+1/2,y+1/2,z'
'-x+1/2,-y+1/2,-z'
'-x+1/2,y+1/2,-z'
'x+1/2,-y+1/2,z'
loop_
_atom_site_label
_atom_site_fract_x
_atom_site_fract_y
_atom_site_fract_z
Cd1 0.000 0.000 0.000
Cd2 0.070 0.500 0.318
Cd3 0.154 0.000 0.593
Cd4 0.215 0.500 0.858
Cu1 0.000 0.500 0.000
Pd1 0.069 0.000 0.785
Pd2 0.202 0.000 0.351
```

Output
ΔE_f, eV/atom: -0.115
Density of states at the Fermi level, states/eV/f.u.: 5.57
M_tot, μB per formula unit: 0.000



(9)
First-principles (PBE) data for a relaxed CdCu12Pd6 crystal, as listed in Alexandria via LeMat-Bulk.

CIF file:
```
data_CdCu12Pd6
_space_group_name_H-M_alt 'R -3 m'
_space_group_IT_number 166
_space_group_name_Hall '-R 3 2"'
_cell_length_a 11.1358
_cell_length_b 11.1358
_cell_length_c 8.0524
_cell_angle_alpha 90.00
_cell_angle_beta 90.00
_cell_angle_gamma 120.00
loop_
_atom_site_label
_atom_site_fract_x
_atom_site_fract_y
_atom_site_fract_z
Cd1 0.0000 0.0000 0.0000
Cu1 0.0000 0.3909 0.5000
Cu2 0.0787 0.1575 0.2690
Pd1 0.0661 0.5330 0.2302
```

Output
ΔE_f, eV/atom: 0.154
Density of states at the Fermi level, states/eV/f.u.: 6.26
M_tot, μB per formula unit: 0.000



(10)
First-principles (PBE) data for a relaxed CdCuPd4 crystal, as listed in Alexandria via LeMat-Bulk.

CIF file:
```
data_CdCuPd4
_space_group_name_H-M_alt 'P 4/m m m'
_space_group_IT_number 123
_space_group_name_Hall '-P 4 2'
_cell_length_a 2.991
_cell_length_b 2.991
_cell_length_c 10.472
_cell_angle_alpha 90.00
_cell_angle_beta 90.00
_cell_angle_gamma 90.00
loop_
_atom_site_label
_atom_site_fract_x
_atom_site_fract_y
_atom_site_fract_z
Cd1 0.000 0.000 0.000
Cu1 0.500 0.500 0.500
Pd1 0.000 0.000 0.355
Pd2 0.500 0.500 0.180
```

Output
ΔE_f, eV/atom: -0.164
Density of states at the Fermi level, states/eV/f.u.: 8.32
E above lowest polymorph, eV per atom: 0.000
M_tot, μB per formula unit: 0.000



(11)
First-principles (PBE) data for a relaxed CdCu2Pd5 crystal, as listed in Alexandria via LeMat-Bulk.

CIF file:
```
data_CdCu2Pd5
_space_group_name_H-M_alt 'I 4/m m m'
_space_group_IT_number 139
_space_group_name_Hall '-I 4 2'
_cell_length_a 5.642
_cell_length_b 5.642
_cell_length_c 7.632
_cell_angle_alpha 90.00
_cell_angle_beta 90.00
_cell_angle_gamma 90.00
loop_
_atom_site_label
_atom_site_fract_x
_atom_site_fract_y
_atom_site_fract_z
Cd1 0.000 0.000 0.000
Cu1 0.000 0.500 0.000
Pd1 0.000 0.000 0.500
Pd2 0.250 0.250 0.250
```

Output
ΔE_f, eV/atom: -0.138
Density of states at the Fermi level, states/eV/f.u.: 6.96
E above lowest polymorph, eV per atom: 0.000
M_tot, μB per formula unit: 0.000